Entry from OQMD: an optimized crystal structure of CsGdZnS3 (GGA-PBE).

Summary:
The crystal system is orthorhombic.

a = 10.6990 Å, b = 4.0551 Å, c = 15.5677 Å
α = 90.00°, β = 90.00°, γ = 90.00°
Fractional coordinates of all 24 atoms:
Cs1 0.2382 0.2500 0.0085
Cs2 0.2618 0.7500 0.5085
Cs3 0.7382 0.2500 0.4915
Cs4 0.7618 0.7500 0.9915
Gd1 0.0136 0.7500 0.2525
Gd2 0.4864 0.2500 0.7525
Gd3 0.5136 0.7500 0.2475
Gd4 0.9864 0.2500 0.7475
Zn1 0.2362 0.7500 0.7873
Zn2 0.2638 0.2500 0.2873
Zn3 0.7362 0.7500 0.7127
Zn4 0.7638 0.2500 0.2127
S1 0.0489 0.7500 0.8624
S2 0.0786 0.2500 0.3655
S3 0.2371 0.2500 0.6973
S4 0.2629 0.7500 0.1973
S5 0.4214 0.7500 0.8655
S6 0.4511 0.2500 0.3624
S7 0.5489 0.7500 0.6376
S8 0.5786 0.2500 0.1345
S9 0.7371 0.2500 0.8027
S10 0.7629 0.7500 0.3027
S11 0.9214 0.7500 0.6345
S12 0.9511 0.2500 0.1376

---

Entry from OQMD: an optimized crystal structure of CsGdZnS3 (GGA-PBE).

Summary:
The crystal system is monoclinic.

a = 9.1376 Å, b = 9.1376 Å, c = 8.8366 Å
α = 99.94°, β = 99.94°, γ = 26.48°
Fractional coordinates of all 12 atoms:
Cs1 0.1523 0.1523 0.0637
Cs2 0.8477 0.8477 0.9363
Gd1 0.1626 0.1626 0.5559
Gd2 0.8374 0.8374 0.4441
Zn1 0.4757 0.4757 0.2556
Zn2 0.5243 0.5243 0.7444
S1 0.0000 0.0000 0.5000
S2 0.3203 0.3203 0.6346
S3 0.3467 0.3467 0.2412
S4 0.5000 0.5000 0.0000
S5 0.6533 0.6533 0.7588
S6 0.6797 0.6797 0.3654

---

Entry from OQMD: an optimized crystal structure of CsGdZnS3 (GGA-PBE).

Summary:
The crystal system is monoclinic.

a = 9.3509 Å, b = 4.0559 Å, c = 9.9119 Å
α = 90.00°, β = 110.94°, γ = 90.00°
Fractional coordinates of all 12 atoms:
Cs1 0.2167 0.2500 0.2445
Cs2 0.7833 0.7500 0.7555
Gd1 0.3314 0.7500 0.8603
Gd2 0.6686 0.2500 0.1397
Zn1 0.0824 0.2500 0.6113
Zn2 0.9176 0.7500 0.3887
S1 0.1236 0.2500 0.8549
S2 0.1847 0.7500 0.5442
S3 0.4736 0.7500 0.1519
S4 0.5264 0.2500 0.8481
S5 0.8153 0.2500 0.4558
S6 0.8764 0.7500 0.1451

---

no.,raw total energy (eV/f.u.)
1,-28.29
2,-26.82
3,-28.13